MnRhBr2 | PBEsol | relaxed

Geometry as extended XYZ:
```
4
Lattice="3.248 0.000 0.000 0.000 3.248 0.000 0.000 0.000 6.498" Properties=species:S:1:pos:R:3 pbc="T T T"
Mn 0.000 0.000 0.000
Rh 0.000 0.000 3.249
Br 1.624 1.624 1.608
Br 1.624 1.624 4.890
```

Computed properties:
E above lowest polymorph = 444 meV/atom
Space-group type = P4/mmm
M_tot = 3.44 Bohr magnetons per cell
ΔE_f (raw) = 0.47 eV/atom